Compound: RbMgCoSe3
Source: OQMD via LeMat-Bulk
Functional: PBE
Structure: relaxed

extended XYZ file:
```
12
Lattice="-1.2280 4.6206 -6.9535 -1.0959 -3.1302 -1.8865 -8.2753 -0.6463 5.8798" Properties=species:S:1:pos:R:3 pbc="T T T"
Se -1.4264 -0.2419 -0.6992
Se -2.1785 2.6721 -5.0974
Se -8.4207 -1.8280 2.1373
Se -5.8591 2.6277 -2.8856
Se -9.1728 1.0860 -2.2610
Se -4.7401 -1.7836 -0.0745
Mg -6.0581 -2.6188 2.0768
Mg -4.5411 3.4628 -5.0370
Rb -7.0322 1.0066 0.4858
Rb -3.5670 -0.1625 -3.4460
Co -3.0734 2.0177 -7.3502
Co -7.5258 -1.1736 4.3901
```

Calculated values
- Space-group type: P2_1/m, No. 11
- Crystal system: monoclinic

=====

Compound: Ac2Ho2Cl
Source: OQMD via LeMat-Bulk
Functional: PBE
Structure: relaxed

extended XYZ file:
```
5
Lattice="4.7567 0.0000 0.0000 0.0000 4.7567 0.0000 0.0000 0.0000 9.3107" Properties=species:S:1:pos:R:3 pbc="T T T"
Cl 0.0000 0.0000 0.0000
Ho 2.3783 2.3783 7.5264
Ho 2.3783 2.3783 1.7843
Ac 0.0000 2.3783 4.6553
Ac 2.3783 0.0000 4.6553
```

Calculated values
- Space-group type: P4/mmm, No. 123
- Crystal system: tetragonal

=====

Compound: LaInCoSe3
Source: OQMD via LeMat-Bulk
Functional: PBE
Structure: relaxed

extended XYZ file:
```
12
Lattice="-0.7811 1.0191 3.9456 -5.3910 -4.5485 2.2893 7.8147 -7.5076 3.4863" Properties=species:S:1:pos:R:3 pbc="T T T"
Se -3.7591 -3.3470 4.4838
Se 1.1646 -9.4766 4.8601
Se 5.4017 -7.6899 5.2374
Se -1.2246 -5.7819 5.6145
Se 0.4780 -1.5603 4.8612
Se 2.8672 -5.2551 4.1067
In -0.9649 -3.9244 3.0044
In 2.6075 -7.1125 6.7168
La 0.0000 0.0000 0.0000
La 3.9074 -3.7538 1.7431
Co 5.2073 -5.3873 4.6042
Co -3.5647 -5.6496 5.1171
```

Calculated values
- Space-group type: Cmcm, No. 63
- Crystal system: orthorhombic

=====

The theoretical density results, record by record, are as follows: 4.5 6.5 5.4 g cm⁻³.
The final energy results, record by record, are as follows: -4.092 -3.389 -5.070 eV per atom.